Here is a relaxed structure of AcCuTeO5 from Alexandria via LeMat-Bulk. Energies are from PBE-GGA.

E_tot	-6.21	eV/atom
E_form (uncorrected)	-1.696	eV per atom
DOS at the Fermi energy	11.23	states/eV/cell
mass density	7.306	Mg/m³

CIF file:
```
data_AcCuTeO5
_chemical_formula_sum 'Ac4 Cu4 Te4 O20'
_cell_length_a 6.537
_cell_length_b 9.722
_cell_length_c 7.471
_cell_angle_alpha 90.00
_cell_angle_beta 107.48
_cell_angle_gamma 90.00
_space_group_name_H-M_alt 'C 1 2/c 1'
_space_group_IT_number 15
_space_group_name_Hall '-C 2yc'
loop_
_atom_site_label
_atom_site_type_symbol
_atom_site_fract_x
_atom_site_fract_y
_atom_site_fract_z
Ac1 Ac 0.000 0.159 0.250
Cu1 Cu 0.000 0.179 0.750
Te1 Te 0.000 0.500 0.000
O1 O 0.000 0.429 0.250
O2 O 0.093 0.311 0.581
O3 O 0.193 0.050 0.944
```


Here is a relaxed structure of Tb3Al2Au from Alexandria via LeMat-Bulk. Energies are from PBE-GGA.

E_tot	-4.64	eV/atom
energy relative to the elements	-0.528	eV/atom
DOS at the Fermi energy	4.52	states/eV/cell
mass density	8.483	Mg/m³

CIF file:
```
data_Tb3Al2Au
_chemical_formula_sum 'Tb3 Al2 Au1'
_cell_length_a 3.605
_cell_length_b 3.605
_cell_length_c 10.958
_cell_angle_alpha 90.00
_cell_angle_beta 90.00
_cell_angle_gamma 90.00
_space_group_name_H-M_alt 'P 4/m m m'
_space_group_IT_number 123
_space_group_name_Hall '-P 4 2'
loop_
_atom_site_label
_atom_site_type_symbol
_atom_site_fract_x
_atom_site_fract_y
_atom_site_fract_z
Tb1 Tb 0.000 0.000 0.000
Tb2 Tb 0.000 0.000 0.335
Al1 Al 0.500 0.500 0.166
Au1 Au 0.500 0.500 0.500
```


Here is a relaxed structure of PmTh2Si2 from Alexandria via LeMat-Bulk. Energies are from PBE-GGA.

E_tot	-6.74	eV/atom
E_form (uncorrected)	-0.652	eV per atom
DOS at the Fermi energy	9.11	states/eV/cell
mass density	8.625	Mg/m³

CIF file:
```
data_PmTh2Si2
_chemical_formula_sum 'Pm2 Th4 Si4'
_cell_length_a 7.789
_cell_length_b 7.789
_cell_length_c 4.222
_cell_angle_alpha 90.00
_cell_angle_beta 90.00
_cell_angle_gamma 90.00
_space_group_name_H-M_alt 'P 4/m b m'
_space_group_IT_number 127
_space_group_name_Hall '-P 4 2ab'
loop_
_atom_site_label
_atom_site_type_symbol
_atom_site_fract_x
_atom_site_fract_y
_atom_site_fract_z
Pm1 Pm 0.000 0.000 0.000
Th1 Th 0.180 0.320 0.500
Si1 Si 0.113 0.613 0.000
```


Here is a relaxed structure of AcPrHgRh from Alexandria via LeMat-Bulk. Energies are from PBE-GGA.

E_tot	-4.69	eV/atom
energy relative to the elements	-0.553	eV/atom
DOS at the Fermi energy	7.61	states/eV/cell
mass density	8.914	Mg/m³

CIF file:
```
data_AcPrHgRh
_chemical_formula_sum 'Ac3 Pr3 Hg3 Rh3'
_cell_length_a 4.2734
_cell_length_b 4.2734
_cell_length_c 23.7235
_cell_angle_alpha 90.00
_cell_angle_beta 90.00
_cell_angle_gamma 120.00
_space_group_name_H-M_alt 'R 3 m'
_space_group_IT_number 160
_space_group_name_Hall 'R 3 -2"'
loop_
_atom_site_label
_atom_site_type_symbol
_atom_site_fract_x
_atom_site_fract_y
_atom_site_fract_z
Ac1 Ac 0.0000 0.0000 0.0000
Pr1 Pr 0.0000 0.0000 0.1991
Hg1 Hg 0.0000 0.0000 0.7712
Rh1 Rh 0.0000 0.0000 0.5987
```


Here is a relaxed structure of SmHoBr3 from Alexandria via LeMat-Bulk. Energies are from PBE-GGA.

E_tot	-4.35	eV/atom
E_form (uncorrected)	-1.483	eV per atom
mass density	5.045	Mg/m³

CIF file:
```
data_SmHoBr3
_chemical_formula_sum 'Sm4 Ho4 Br12'
_cell_length_a 17.263
_cell_length_b 3.974
_cell_length_c 10.972
_cell_angle_alpha 90.00
_cell_angle_beta 103.90
_cell_angle_gamma 90.00
_space_group_name_H-M_alt 'C 1 2/m 1'
_space_group_IT_number 12
_space_group_name_Hall '-C 2y'
loop_
_atom_site_label
_atom_site_type_symbol
_atom_site_fract_x
_atom_site_fract_y
_atom_site_fract_z
Sm1 Sm 0.089 0.000 0.458
Ho1 Ho 0.075 0.500 0.740
Br1 Br 0.086 0.500 0.252
Br2 Br 0.133 0.000 0.923
Br3 Br 0.202 0.500 0.617
```


Here is a relaxed structure of Ce2TlAg from Alexandria via LeMat-Bulk. Energies are from PBE-GGA.

E_tot	-4.41	eV/atom
energy relative to the elements	-0.134	eV/atom
DOS at the Fermi energy	19.17	states/eV/cell
mass density	9.679	Mg/m³

CIF file:
```
data_Ce2TlAg
_chemical_formula_sum 'Ce4 Tl2 Ag2'
_cell_length_a 4.372
_cell_length_b 4.662
_cell_length_c 9.974
_cell_angle_alpha 90.00
_cell_angle_beta 90.00
_cell_angle_gamma 90.00
_space_group_name_H-M_alt 'I m m 2'
_space_group_IT_number 44
_space_group_name_Hall 'I 2 -2'
loop_
_atom_site_label
_atom_site_type_symbol
_atom_site_fract_x
_atom_site_fract_y
_atom_site_fract_z
Ce1 Ce 0.000 0.000 0.000
Ce2 Ce 0.000 0.500 0.313
Tl1 Tl 0.000 0.500 0.757
Ag1 Ag 0.000 0.000 0.548
```


Here is a relaxed structure of Pm3Pr2NdN6 from Alexandria via LeMat-Bulk. Energies are from PBE-GGA.

E_tot	-7.92	eV/atom
E_form (uncorrected)	-1.371	eV per atom
DOS at the Fermi energy	2.89	states/eV/cell
mass density	7.629	Mg/m³

CIF file:
```
data_Pm3Pr2NdN6
_chemical_formula_sum 'Pm6 Pr4 Nd2 N12'
_cell_length_a 15.890
_cell_length_b 3.647
_cell_length_c 7.294
_cell_angle_alpha 90.00
_cell_angle_beta 103.28
_cell_angle_gamma 90.00
_space_group_name_H-M_alt 'C 1 2/m 1'
_space_group_IT_number 12
_space_group_name_Hall '-C 2y'
loop_
_atom_site_label
_atom_site_type_symbol
_atom_site_fract_x
_atom_site_fract_y
_atom_site_fract_z
Pm1 Pm 0.000 0.000 0.000
Pm2 Pm 0.166 0.500 0.334
Pr1 Pr 0.166 0.500 0.833
Nd1 Nd 0.000 0.000 0.500
N1 N 0.001 0.500 0.249
N2 N 0.165 0.000 0.086
N3 N 0.167 0.000 0.580
```


Here is a relaxed structure of CsH3Ru from Alexandria via LeMat-Bulk. Energies are from PBE-GGA.

E_tot	-3.63	eV/atom
DOS at the Fermi energy	4.49	states/eV/cell
mass density	6.198	Mg/m³

CIF file:
```
data_CsH3Ru
_chemical_formula_sum 'Cs1 H3 Ru1'
_cell_length_a 3.989
_cell_length_b 3.989
_cell_length_c 3.989
_cell_angle_alpha 90.00
_cell_angle_beta 90.00
_cell_angle_gamma 90.00
_space_group_name_H-M_alt 'P m -3 m'
_space_group_IT_number 221
_space_group_name_Hall '-P 4 2 3'
loop_
_atom_site_label
_atom_site_type_symbol
_atom_site_fract_x
_atom_site_fract_y
_atom_site_fract_z
Cs1 Cs 0.000 0.000 0.000
H1 H 0.000 0.500 0.500
Ru1 Ru 0.500 0.500 0.500
```


Here is a relaxed structure of Sm2Mg5Pd4 from Alexandria via LeMat-Bulk. Energies are from PBE-GGA.

E_tot	-3.98	eV/atom
energy relative to the elements	-0.505	eV/atom
DOS at the Fermi energy	22.61	states/eV/cell
mass density	5.920	Mg/m³

CIF file:
```
data_Sm2Mg5Pd4
_chemical_formula_sum 'Sm8 Mg20 Pd16'
_cell_length_a 5.746
_cell_length_b 10.857
_cell_length_c 15.252
_cell_angle_alpha 90.00
_cell_angle_beta 90.00
_cell_angle_gamma 90.00
_space_group_name_H-M_alt 'F m m m'
_space_group_IT_number 69
_space_group_name_Hall '-F 2 2'
loop_
_atom_site_label
_atom_site_type_symbol
_atom_site_fract_x
_atom_site_fract_y
_atom_site_fract_z
Sm1 Sm 0.000 0.000 0.154
Mg1 Mg 0.000 0.000 0.500
Mg2 Mg 0.250 0.250 0.000
Mg3 Mg 0.250 0.250 0.250
Pd1 Pd 0.000 0.131 0.362
```


Here is a relaxed structure of CeDy2ErS6 from Alexandria via LeMat-Bulk. Energies are from PBE-GGA.

E_tot	-6.47	eV/atom
E_form (uncorrected)	-2.022	eV per atom
DOS at the Fermi energy	14.74	states/eV/cell
mass density	5.258	Mg/m³

CIF file:
```
data_CeDy2ErS6
_chemical_formula_sum 'Ce3 Dy6 Er3 S18'
_cell_length_a 6.9726
_cell_length_b 6.9726
_cell_length_c 18.5584
_cell_angle_alpha 90.00
_cell_angle_beta 90.00
_cell_angle_gamma 120.00
_space_group_name_H-M_alt 'R 3'
_space_group_IT_number 146
_space_group_name_Hall 'R 3'
loop_
_atom_site_label
_atom_site_type_symbol
_atom_site_fract_x
_atom_site_fract_y
_atom_site_fract_z
Ce1 Ce 0.0000 0.0000 0.0000
Dy1 Dy 0.0000 0.0000 0.2036
Dy2 Dy 0.0000 0.0000 0.7074
Er1 Er 0.0000 0.0000 0.5057
S1 S 0.0011 0.3054 0.1064
S2 S 0.0496 0.6849 0.2722
```


Here is a relaxed structure of Tb3Sm2Dy6Tm from Alexandria via LeMat-Bulk. Energies are from PBE-GGA.

E_tot	-4.60	eV/atom
energy relative to the elements	0.015	eV/atom
DOS at the Fermi energy	30.29	states/eV/cell
mass density	8.378	Mg/m³

CIF file:
```
data_Tb3Sm2Dy6Tm
_chemical_formula_sum 'Tb6 Sm4 Dy12 Tm2'
_cell_length_a 6.158
_cell_length_b 10.656
_cell_length_c 11.784
_cell_angle_alpha 90.00
_cell_angle_beta 99.97
_cell_angle_gamma 90.00
_space_group_name_H-M_alt 'C 1 2/m 1'
_space_group_IT_number 12
_space_group_name_Hall '-C 2y'
loop_
_atom_site_label
_atom_site_type_symbol
_atom_site_fract_x
_atom_site_fract_y
_atom_site_fract_z
Tb1 Tb 0.000 0.000 0.000
Tb2 Tb 0.000 0.334 0.000
Sm1 Sm 0.000 0.167 0.500
Dy1 Dy 0.249 0.500 0.249
Dy2 Dy 0.250 0.166 0.249
Tm1 Tm 0.000 0.500 0.500
```


Here is a relaxed structure of GdAsO4 from Alexandria via LeMat-Bulk. Energies are from PBE-GGA.

E_tot	-8.71	eV/atom
E_form (uncorrected)	-2.281	eV per atom
DOS at the Fermi energy	0.00	states/eV/cell
mass density	6.621	Mg/m³

CIF file:
```
data_GdAsO4
_chemical_formula_sum 'Gd2 As2 O8'
_cell_length_a 5.583
_cell_length_b 5.583
_cell_length_c 4.767
_cell_angle_alpha 90.00
_cell_angle_beta 90.00
_cell_angle_gamma 90.00
_space_group_name_H-M_alt 'P 4/n b m'
_space_group_IT_number 125
loop_
_space_group_symop_operation_xyz
'x,y,z'
'-x,-y,-z'
'-y+1/2,x,z'
'y+1/2,-x,-z'
'-x+1/2,-y+1/2,z'
'x+1/2,y+1/2,-z'
'y,-x+1/2,z'
'-y,x+1/2,-z'
'x,-y+1/2,-z'
'-x,y+1/2,z'
'-y+1/2,-x+1/2,-z'
'y+1/2,x+1/2,z'
'-x+1/2,y,-z'
'x+1/2,-y,z'
'y,x,-z'
'-y,-x,z'
loop_
_atom_site_label
_atom_site_type_symbol
_atom_site_fract_x
_atom_site_fract_y
_atom_site_fract_z
Gd1 Gd 0.250 0.250 0.000
As1 As 0.250 0.750 0.500
O1 O 0.082 0.582 0.263
```


Here is a relaxed structure of Cs2LaSnBr6 from Alexandria via LeMat-Bulk. Energies are from PBE-GGA.

E_tot	-3.55	eV/atom
E_form (uncorrected)	-1.479	eV per atom
DOS at the Fermi energy	16.67	states/eV/cell
mass density	3.684	Mg/m³

CIF file:
```
data_Cs2LaSnBr6
_chemical_formula_sum 'Cs4 La2 Sn2 Br12'
_cell_length_a 8.753
_cell_length_b 8.753
_cell_length_c 11.802
_cell_angle_alpha 90.00
_cell_angle_beta 90.00
_cell_angle_gamma 90.00
_space_group_name_H-M_alt 'I 4/m m m'
_space_group_IT_number 139
_space_group_name_Hall '-I 4 2'
loop_
_atom_site_label
_atom_site_type_symbol
_atom_site_fract_x
_atom_site_fract_y
_atom_site_fract_z
Cs1 Cs 0.000 0.500 0.250
La1 La 0.000 0.000 0.000
Sn1 Sn 0.000 0.000 0.500
Br1 Br 0.000 0.000 0.249
Br2 Br 0.238 0.238 0.000
```


Here is a relaxed structure of LaMgCl2 from Alexandria via LeMat-Bulk. Energies are from PBE-GGA.

E_tot	-3.87	eV/atom
E_form (uncorrected)	-1.315	eV per atom
DOS at the Fermi energy	1.68	states/eV/cell
mass density	3.547	Mg/m³

CIF file:
```
data_LaMgCl2
_chemical_formula_sum 'La1 Mg1 Cl2'
_cell_length_a 3.642
_cell_length_b 3.642
_cell_length_c 8.265
_cell_angle_alpha 90.00
_cell_angle_beta 90.00
_cell_angle_gamma 90.00
_space_group_name_H-M_alt 'P 4 m m'
_space_group_IT_number 99
_space_group_name_Hall 'P 4 -2'
loop_
_atom_site_label
_atom_site_type_symbol
_atom_site_fract_x
_atom_site_fract_y
_atom_site_fract_z
La1 La 0.000 0.000 0.000
Mg1 Mg 0.500 0.500 0.301
Cl1 Cl 0.000 0.000 0.430
Cl2 Cl 0.500 0.500 0.814
```


Here is a relaxed structure of LaTbNd2Th from Alexandria via LeMat-Bulk. Energies are from PBE-GGA.

E_tot	-5.01	eV/atom
energy relative to the elements	0.294	eV/atom
DOS at the Fermi energy	14.20	states/eV/cell
mass density	7.515	Mg/m³

CIF file:
```
data_LaTbNd2Th
_chemical_formula_sum 'La2 Tb2 Nd4 Th2'
_cell_length_a 8.710
_cell_length_b 6.496
_cell_length_c 6.468
_cell_angle_alpha 90.00
_cell_angle_beta 98.82
_cell_angle_gamma 90.00
_space_group_name_H-M_alt 'P 1 2/c 1'
_space_group_IT_number 13
_space_group_name_Hall '-P 2yc'
loop_
_atom_site_label
_atom_site_type_symbol
_atom_site_fract_x
_atom_site_fract_y
_atom_site_fract_z
La1 La 0.000 0.000 0.000
Tb1 Tb 0.500 0.169 0.250
Nd1 Nd 0.315 0.314 0.698
Th1 Th 0.000 0.453 0.250
```


Here is a relaxed structure of AsRuCl2 from Alexandria via LeMat-Bulk. Energies are from PBE-GGA.

E_tot	-4.36	eV/atom
E_form (uncorrected)	0.047	eV per atom
DOS at the Fermi energy	4.41	states/eV/cell
mass density	4.261	Mg/m³

CIF file:
```
data_AsRuCl2
_chemical_formula_sum 'As2 Ru2 Cl4'
_cell_length_a 13.625
_cell_length_b 3.239
_cell_length_c 4.444
_cell_angle_alpha 90.00
_cell_angle_beta 101.11
_cell_angle_gamma 90.00
_space_group_name_H-M_alt 'C 1 2/m 1'
_space_group_IT_number 12
_space_group_name_Hall '-C 2y'
loop_
_atom_site_label
_atom_site_type_symbol
_atom_site_fract_x
_atom_site_fract_y
_atom_site_fract_z
As1 As 0.000 0.000 0.000
Ru1 Ru 0.000 0.500 0.500
Cl1 Cl 0.135 0.000 0.678
```


Here is a relaxed structure of LaZr2Ni from Alexandria via LeMat-Bulk. Energies are from PBE-GGA.

E_tot	-6.86	eV/atom
energy relative to the elements	0.086	eV/atom
DOS at the Fermi energy	13.21	states/eV/cell
mass density	6.606	Mg/m³

CIF file:
```
data_LaZr2Ni
_chemical_formula_sum 'La3 Zr6 Ni3'
_cell_length_a 3.5159
_cell_length_b 3.5159
_cell_length_c 26.7711
_cell_angle_alpha 90.00
_cell_angle_beta 90.00
_cell_angle_gamma 120.00
_space_group_name_H-M_alt 'R -3 m'
_space_group_IT_number 166
_space_group_name_Hall '-R 3 2"'
loop_
_atom_site_label
_atom_site_type_symbol
_atom_site_fract_x
_atom_site_fract_y
_atom_site_fract_z
La1 La 0.0000 0.0000 0.0000
Zr1 Zr 0.0000 0.0000 0.2268
Ni1 Ni 0.0000 0.0000 0.5000
```


Here is a relaxed structure of MnFe from Alexandria via LeMat-Bulk. Energies are from PBE-GGA.

E_tot	-8.66	eV/atom
energy relative to the elements	0.154	eV/atom
DOS at the Fermi energy	14.59	states/eV/cell
mass density	8.188	Mg/m³

CIF file:
```
data_MnFe
_chemical_formula_sum 'Mn8 Fe8'
_cell_length_a 10.213
_cell_length_b 4.050
_cell_length_c 4.345
_cell_angle_alpha 90.00
_cell_angle_beta 90.00
_cell_angle_gamma 90.00
_space_group_name_H-M_alt 'P n m a'
_space_group_IT_number 62
_space_group_name_Hall '-P 2ac 2n'
loop_
_atom_site_label
_atom_site_type_symbol
_atom_site_fract_x
_atom_site_fract_y
_atom_site_fract_z
Mn1 Mn 0.118 0.250 0.186
Mn2 Mn 0.242 0.250 0.722
Fe1 Fe 0.003 0.750 0.331
Fe2 Fe 0.112 0.750 0.817
```


Here is a relaxed structure of UCuTe4 from Alexandria via LeMat-Bulk. Energies are from PBE-GGA.

E_tot	-4.85	eV/atom
E_form (uncorrected)	-0.194	eV per atom
DOS at the Fermi energy	9.54	states/eV/cell
mass density	7.184	Mg/m³

CIF file:
```
data_UCuTe4
_chemical_formula_sum 'U2 Cu2 Te8'
_cell_length_a 5.844
_cell_length_b 9.139
_cell_length_c 7.602
_cell_angle_alpha 90.00
_cell_angle_beta 112.41
_cell_angle_gamma 90.00
_space_group_name_H-M_alt 'P 1 21/m 1'
_space_group_IT_number 11
_space_group_name_Hall '-P 2yb'
loop_
_atom_site_label
_atom_site_type_symbol
_atom_site_fract_x
_atom_site_fract_y
_atom_site_fract_z
U1 U 0.069 0.250 0.125
Cu1 Cu 0.333 0.750 0.539
Te1 Te 0.114 0.565 0.247
Te2 Te 0.259 0.250 0.536
Te3 Te 0.445 0.750 0.900
```


Here is a relaxed structure of Rb2ThBiTe4 from Alexandria via LeMat-Bulk. Energies are from PBE-GGA.

E_tot	-4.10	eV/atom
E_form (uncorrected)	-0.876	eV per atom
DOS at the Fermi energy	1.06	states/eV/cell
mass density	5.506	Mg/m³

CIF file:
```
data_Rb2ThBiTe4
_chemical_formula_sum 'Rb2 Th1 Bi1 Te4'
_cell_length_a 8.799
_cell_length_b 4.615
_cell_length_c 8.927
_cell_angle_alpha 90.00
_cell_angle_beta 110.97
_cell_angle_gamma 90.00
_space_group_name_H-M_alt 'P 1 2/m 1'
_space_group_IT_number 10
_space_group_name_Hall '-P 2y'
loop_
_atom_site_label
_atom_site_type_symbol
_atom_site_fract_x
_atom_site_fract_y
_atom_site_fract_z
Rb1 Rb 0.000 0.000 0.000
Rb2 Rb 0.500 0.500 0.000
Th1 Th 0.000 0.500 0.500
Bi1 Bi 0.500 0.000 0.500
Te1 Te 0.205 0.000 0.718
Te2 Te 0.254 0.500 0.317
```